An optimized crystal structure of LiPr2AuO6, computed with PBE-GGA.

The uncorrected formation energy is -2.005 eV per atom. As for the crystal system: monoclinic. Its space group is P2_1/c.

Cell: 5.5392 5.8758 9.6040 Å, 90.00 124.73 90.00°
Fractional coordinates of all 20 atoms:
Li (0.0000, 0.0000, 0.0000)
Li (0.0000, 0.5000, 0.5000)
Pr (0.2313, 0.0687, 0.7487)
Pr (0.2313, 0.4313, 0.2487)
Pr (0.7687, 0.5687, 0.7513)
Pr (0.7687, 0.9313, 0.2513)
Au (0.5000, 0.0000, 0.5000)
Au (0.5000, 0.5000, 0.0000)
O (0.1534, 0.1929, 0.4516)
O (0.1534, 0.3071, 0.9516)
O (0.2586, 0.7091, 0.4476)
O (0.2586, 0.7909, 0.9476)
O (0.3498, 0.0311, 0.2523)
O (0.3498, 0.4689, 0.7523)
O (0.6502, 0.5311, 0.2477)
O (0.6502, 0.9689, 0.7477)
O (0.7414, 0.2091, 0.0524)
O (0.7414, 0.2909, 0.5524)
O (0.8466, 0.6929, 0.0484)
O (0.8466, 0.8071, 0.5484)